Compound: MoAsN2O
Source: Alexandria
Functional: PBE+U
Structure: relaxed

a = 4.0530 Å, b = 4.0530 Å, c = 3.8147 Å
α = 90.00°, β = 90.00°, γ = 90.00°
Positions (direct):
Mo  0.0000  0.0000  0.0000
As  0.5000  0.5000  0.5000
N  0.5000  0.0000  0.0000
N  0.0000  0.5000  0.0000
O  0.0000  0.0000  0.5000

## Properties
Space-group type = P4/mmm
Total energy = -6.123 eV/atom
Calculated density = 5.694 g/cm³